(1)
! LiScCdCo PBE relaxed; values from VASP
&SYSTEM
  ibrav = 0, nat = 4, ntyp = 4
/
ATOMIC_SPECIES
Li 6.94 Li.upf
Co 58.93 Co.upf
Sc 44.96 Sc.upf
Cd 112.41 Cd.upf
ATOMIC_POSITIONS crystal
Li 0.500 0.500 0.500
Co 0.000 0.000 0.000
Sc 0.250 0.250 0.250
Cd 0.750 0.750 0.750
CELL_PARAMETERS angstrom
4.503 0.000 0.000
2.252 3.900 0.000
2.252 1.300 3.677
! **Formation enthalpy at 0 K**: -0.083 eV per atom
! **Theoretical density**: 5.741 g/cm3

(2)
! Cd3Hg2 PBE relaxed; values from VASP
&SYSTEM
  ibrav = 0, nat = 10, ntyp = 2
/
ATOMIC_SPECIES
Hg 200.59 Hg.upf
Cd 112.41 Cd.upf
ATOMIC_POSITIONS crystal
Hg 0.366 0.599 0.941
Hg 0.057 0.099 0.559
Hg 0.906 0.401 0.059
Hg 0.715 0.901 0.441
Cd 0.170 0.000 0.000
Cd 0.460 0.304 0.585
Cd 0.795 0.804 0.915
Cd 0.349 0.696 0.415
Cd 0.514 0.196 0.085
Cd 0.920 0.500 0.500
CELL_PARAMETERS angstrom
4.982 0.000 1.958
2.491 7.580 0.979
0.329 0.000 6.481
! **Formation enthalpy at 0 K**: 0.030 eV per atom
! **Excess energy over the best structure of this formula in the dataset**: 8 meV per atom
! **Theoretical density**: 10.223 g/cm3

Question: Among the records above, which one has the lowest formation enthalpy at 0 K?
Answer: LiScCdCo

Question: What is the theoretical density in the second record?
Answer: 10.223 g/cm3

Question: Among the records above, which one has the lowest formation enthalpy at 0 K?
Answer: LiScCdCo